The following is a DFT calculation (GGA-PBE) of a relaxed structure of Ba2HfMnGa.

```
Ba2HfMnGa
1.0
-5.1952 2.4667 1.8957
0.3909 -2.1394 3.8551
3.0647 4.6922 2.2933
Mn Hf Ba Ga
1 1 2 1
Direct
0.0000 0.5000 0.0000 Mn
0.0000 0.0000 0.0000 Hf
0.0000 0.0000 0.5000 Ba
0.5000 0.0000 0.0000 Ba
0.5000 0.5000 0.5000 Ga
```

DFT total energy, eV/atom: -4.1582